A relaxed Mn3Te2 crystal, computed with PBE-GGA.

Properties
- Magnetic moment: 11.7 μB per formula unit
- N(E_F): 4.1 states/eV/f.u.
- Final energy: -6.46 eV/atom

Cell lengths 8.7876, 8.7876, 8.7876 Å; angles 25.19, 25.19, 25.19 degrees
Atoms (fractional coordinates):
Mn (0.0000, 0.0000, 0.0000)
Mn (0.2016, 0.2016, 0.2016)
Mn (0.7984, 0.7984, 0.7984)
Te (0.4023, 0.4023, 0.4023)
Te (0.5977, 0.5977, 0.5977)